## Fe5Pb3O12 (PBE+U)

Data for an optimized crystal structure of Fe5Pb3O12.

Cell lengths 11.102, 11.102, 11.102 Å; angles 109.47, 109.47, 109.47 degrees
Sites, in units of the cell vectors:
1 Pb 0.625 0.375 0.750
2 Pb 0.875 0.750 0.125
3 Pb 0.875 0.125 0.250
4 Pb 0.750 0.875 0.625
5 Pb 0.250 0.125 0.375
6 Pb 0.250 0.625 0.875
7 Pb 0.375 0.625 0.250
8 Pb 0.625 0.250 0.375
9 Pb 0.375 0.750 0.625
10 Pb 0.125 0.875 0.750
11 Pb 0.125 0.250 0.875
12 Pb 0.750 0.375 0.125
13 O 0.822 0.921 0.300
14 O 0.079 0.901 0.379
15 O 0.800 0.478 0.379
16 O 0.322 0.522 0.401
17 O 0.522 0.322 0.901
18 O 0.879 0.579 0.901
19 O 0.901 0.822 0.522
20 O 0.921 0.099 0.621
21 O 0.678 0.200 0.579
22 O 0.822 0.901 0.022
23 O 0.599 0.621 0.421
24 O 0.200 0.522 0.621
25 O 0.901 0.079 0.879
26 O 0.178 0.099 0.978
27 O 0.379 0.978 0.800
28 O 0.678 0.478 0.599
29 O 0.621 0.599 0.921
30 O 0.978 0.599 0.178
31 O 0.401 0.022 0.322
32 O 0.579 0.700 0.678
33 O 0.921 0.822 0.800
34 O 0.322 0.800 0.421
35 O 0.300 0.879 0.978
36 O 0.099 0.921 0.121
37 O 0.599 0.978 0.678
38 O 0.700 0.121 0.022
39 O 0.522 0.200 0.121
40 O 0.879 0.300 0.478
41 O 0.978 0.379 0.300
42 O 0.478 0.800 0.879
43 O 0.079 0.178 0.200
44 O 0.121 0.421 0.099
45 O 0.300 0.421 0.822
46 O 0.022 0.401 0.822
47 O 0.800 0.322 0.921
48 O 0.379 0.401 0.079
49 O 0.421 0.300 0.322
50 O 0.099 0.178 0.478
51 O 0.700 0.579 0.178
52 O 0.621 0.022 0.200
53 O 0.022 0.621 0.700
54 O 0.478 0.678 0.099
55 O 0.121 0.700 0.522
56 O 0.178 0.079 0.700
57 O 0.421 0.121 0.599
58 O 0.401 0.379 0.579
59 O 0.579 0.879 0.401
60 O 0.200 0.678 0.079
61 Fe 0.250 0.375 0.625
62 Fe 0.500 0.000 0.500
63 Fe 0.750 0.125 0.875
64 Fe 0.000 0.500 0.500
65 Fe 0.500 0.000 0.000
66 Fe 0.500 0.500 0.500
67 Fe 0.000 0.000 0.500
68 Fe 0.500 0.500 0.000
69 Fe 0.125 0.750 0.375
70 Fe 0.375 0.125 0.750
71 Fe 0.750 0.625 0.375
72 Fe 0.250 0.875 0.125
73 Fe 0.625 0.750 0.875
74 Fe 0.875 0.625 0.750
75 Fe 0.125 0.375 0.250
76 Fe 0.000 0.000 0.000
77 Fe 0.625 0.875 0.250
78 Fe 0.875 0.250 0.625
79 Fe 0.000 0.500 0.000
80 Fe 0.375 0.250 0.125

Properties
Fermi-level density of states, states/eV/cell: 14.5
Uncorrected energy, eV per atom: -6.150